Entry 1:
Computed, not measured: an optimized crystal structure of Ca5Tl4Pd at the PBE level of DFT.

## Properties
- E_form (eV/atom) = -0.4678
- SG = P4/mmm
- ρ (g cm⁻³) = 6.70

Geometry as POSCAR:
```
Ca5Tl4Pd
1.0
3.8017 0.0000 0.0000
0.0000 3.8017 0.0000
0.0000 0.0000 19.2838
Ca Tl Pd
5 4 1
Direct
0.0000 0.0000 0.0000
0.0000 0.0000 0.2075
0.0000 0.0000 0.4139
0.0000 0.0000 0.5861
0.0000 0.0000 0.7925
0.5000 0.5000 0.1050
0.5000 0.5000 0.3095
0.5000 0.5000 0.6905
0.5000 0.5000 0.8950
0.5000 0.5000 0.5000
```

=====

Entry 2:
Computed, not measured: an optimized crystal structure of Ca2TlPd4 at the PBE level of DFT.

## Properties
- E_form (eV/atom) = 0.0165
- SG = I4/mmm
- ρ (g cm⁻³) = 6.38

Geometry as POSCAR:
```
Ca2TlPd4
1.0
5.0453 0.0000 0.0000
0.0000 5.0453 0.0000
0.0000 0.0000 14.5142
Ca Tl Pd
4 2 8
Direct
0.0000 0.0000 0.1293
0.0000 0.0000 0.8707
0.5000 0.5000 0.3707
0.5000 0.5000 0.6293
0.0000 0.0000 0.5000
0.5000 0.5000 0.0000
0.0000 0.0000 0.3161
0.0000 0.0000 0.6839
0.0000 0.5000 0.0000
0.0000 0.5000 0.5000
0.5000 0.0000 0.0000
0.5000 0.0000 0.5000
0.5000 0.5000 0.1839
0.5000 0.5000 0.8161
```

=====

Entry 3:
Computed, not measured: an optimized crystal structure of CaTlPd2 at the PBE level of DFT.

## Properties
- E_form (eV/atom) = -0.4814
- SG = P4/mmm
- ρ (g cm⁻³) = 9.44

Geometry as POSCAR:
```
CaTlPd2
1.0
4.6624 0.0000 0.0000
0.0000 4.6624 0.0000
0.0000 0.0000 3.6993
Ca Tl Pd
1 1 2
Direct
0.0000 0.0000 0.0000
0.5000 0.5000 0.0000
0.0000 0.5000 0.5000
0.5000 0.0000 0.5000
```

=====

Entry 4:
Computed, not measured: an optimized crystal structure of CaTl6Pd12 at the PBE level of DFT.

## Properties
- E_form (eV/atom) = -0.1257
- SG = R-3m
- ρ (g cm⁻³) = 10.94

Geometry as POSCAR:
```
CaTl6Pd12
1.0
6.0902 3.5162 3.0056
-6.0902 3.5162 3.0056
0.0000 -7.0324 3.0056
Ca Tl Pd
1 6 12
Direct
0.0000 0.0000 0.0000
0.2865 0.2865 0.7062
0.2865 0.7062 0.2865
0.2938 0.7135 0.7135
0.7062 0.2865 0.2865
0.7135 0.2938 0.7135
0.7135 0.7135 0.2938
0.1124 0.5000 0.8876
0.1124 0.8876 0.5000
0.1285 0.3645 0.3645
0.3645 0.1285 0.3645
0.3645 0.3645 0.1285
0.5000 0.1124 0.8876
0.5000 0.8876 0.1124
0.6355 0.6355 0.8715
0.6355 0.8715 0.6355
0.8715 0.6355 0.6355
0.8876 0.1124 0.5000
0.8876 0.5000 0.1124
```

=====

Entry 5:
Computed, not measured: an optimized crystal structure of CaTlPd2 at the PBE level of DFT.

## Properties
- E_form (eV/atom) = -0.5166
- SG = Pmma
- ρ (g cm⁻³) = 8.61

Geometry as POSCAR:
```
CaTlPd2
1.0
5.5707 0.0000 0.0000
0.0000 4.4505 0.0000
0.0000 0.0000 7.1138
Ca Tl Pd
2 2 4
Direct
0.2500 0.0000 0.2323
0.7500 0.0000 0.7677
0.2500 0.5000 0.8674
0.7500 0.5000 0.1326
0.0000 0.5000 0.5000
0.2500 0.0000 0.6369
0.5000 0.5000 0.5000
0.7500 0.0000 0.3631
```

=====

Entry 6:
Computed, not measured: an optimized crystal structure of Ca2Tl2Pd at the PBE level of DFT.

## Properties
- ΔE to the lowest computed polymorph (meV/atom) = 0
- E_form (eV/atom) = -0.4765
- SG = C2/m
- ρ (g cm⁻³) = 7.31

Geometry as POSCAR:
```
Ca2Tl2Pd
1.0
5.8517 -2.0496 0.0000
5.8517 2.0496 0.0000
-4.4469 0.0000 11.2699
Ca Tl Pd
4 4 2
Direct
0.0050 0.0050 0.1696
0.1884 0.1884 0.6251
0.8116 0.8116 0.3749
0.9950 0.9950 0.8304
0.3354 0.3354 0.9455
0.4556 0.4556 0.6075
0.5444 0.5444 0.3925
0.6646 0.6646 0.0545
0.3178 0.3178 0.1903
0.6822 0.6822 0.8097
```

=====

Entry 7:
Computed, not measured: an optimized crystal structure of Ca2Tl3Pd2 at the PBE level of DFT.

## Properties
- E_form (eV/atom) = -0.4526
- SG = Cmmm
- ρ (g cm⁻³) = 8.31

Geometry as POSCAR:
```
Ca2Tl3Pd2
1.0
4.2573 0.0000 0.0000
0.0000 21.5497 0.0000
0.0000 0.0000 3.9485
Ca Tl Pd
4 6 4
Direct
0.0000 0.1758 0.0000
0.0000 0.8242 0.0000
0.5000 0.3242 0.0000
0.5000 0.6758 0.0000
0.0000 0.0000 0.0000
0.0000 0.4195 0.5000
0.0000 0.5805 0.5000
0.5000 0.0805 0.5000
0.5000 0.5000 0.0000
0.5000 0.9195 0.5000
0.0000 0.2901 0.5000
0.0000 0.7099 0.5000
0.5000 0.2099 0.5000
0.5000 0.7901 0.5000
```

=====

Entry 8:
Computed, not measured: an optimized crystal structure of CaTl2Pd2 at the PBE level of DFT.

## Properties
- ΔE to the lowest computed polymorph (meV/atom) = 120
- E_form (eV/atom) = -0.2717
- SG = P4/mbm
- ρ (g cm⁻³) = 9.98

Geometry as POSCAR:
```
CaTl2Pd2
1.0
8.0976 0.0000 0.0000
0.0000 8.0976 0.0000
0.0000 0.0000 3.3567
Ca Tl Pd
2 4 4
Direct
0.0000 0.0000 0.0000
0.5000 0.5000 0.0000
0.1314 0.3686 0.0000
0.3686 0.8686 0.0000
0.6314 0.1314 0.0000
0.8686 0.6314 0.0000
0.1709 0.6709 0.5000
0.3291 0.1709 0.5000
0.6709 0.8291 0.5000
0.8291 0.3291 0.5000
```